Record 1
Sr3WS, relaxed, DFT PBE; E_form (uncorrected) = 241 meV per atom; energy = -20.92 eV per cell; size of the total moment = 4.6 Bohr magnetons per cell; density of states at the Fermi level = 5.00 states/eV per cell; ΔE to the lowest computed polymorph = 0 meV/atom
1.0
5.704 0.000 0.000
0.000 5.704 0.000
0.000 0.000 5.704
Sr W S
3 1 1
Direct
0.000 0.000 0.500 Sr
0.000 0.500 0.000 Sr
0.500 0.000 0.000 Sr
0.500 0.500 0.500 W
0.000 0.000 0.000 S

***

Record 2
SrW3S, relaxed, DFT PBE; E_form (uncorrected) = 994 meV per atom; energy = -39.70 eV per cell; size of the total moment = 0.0 Bohr magnetons per cell; density of states at the Fermi level = 2.58 states/eV per cell; ΔE to the lowest computed polymorph = 0 meV/atom
1.0
4.606 0.000 0.000
0.000 4.606 0.000
0.000 0.000 4.606
Sr W S
1 3 1
Direct
0.000 0.000 0.000 Sr
0.000 0.500 0.500 W
0.500 0.000 0.500 W
0.500 0.500 0.000 W
0.500 0.500 0.500 S

***

Record 3
Sr3WS, relaxed, DFT PBE; E_form (uncorrected) = 761 meV per atom; energy = -18.32 eV per cell; size of the total moment = 0.0 Bohr magnetons per cell; density of states at the Fermi level = 4.34 states/eV per cell; ΔE to the lowest computed polymorph = 520 meV/atom
1.0
5.632 0.000 0.000
0.000 5.632 0.000
0.000 0.000 5.632
Sr W S
3 1 1
Direct
0.000 0.000 0.500 Sr
0.000 0.500 0.000 Sr
0.500 0.000 0.000 Sr
0.000 0.000 0.000 W
0.500 0.500 0.500 S

***

Record 4
SrY2S4, relaxed, DFT PBE; E_form (uncorrected) = -2122 meV per atom; energy = -91.94 eV per cell; size of the total moment = 0.0 Bohr magnetons per cell; ΔE to the lowest computed polymorph = 13 meV/atom
1.0
1.991 -6.544 0.000
1.991 6.544 0.000
0.000 0.000 13.459
Sr Y S
2 4 8
Direct
0.112 0.888 0.750 Sr
0.888 0.112 0.250 Sr
0.366 0.634 0.569 Y
0.366 0.634 0.931 Y
0.634 0.366 0.069 Y
0.634 0.366 0.431 Y
0.000 0.000 0.000 S
0.000 0.000 0.500 S
0.270 0.730 0.115 S
0.270 0.730 0.385 S
0.449 0.551 0.750 S
0.551 0.449 0.250 S
0.730 0.270 0.615 S
0.730 0.270 0.885 S

***

Record 5
SrY2S3, relaxed, DFT PBE; E_form (uncorrected) = -2002 meV per atom; energy = -39.00 eV per cell; size of the total moment = 0.0 Bohr magnetons per cell; density of states at the Fermi level = 2.07 states/eV per cell
1.0
-1.997 2.845 6.060
1.997 -2.845 6.060
1.997 2.845 -6.060
Sr Y S
1 2 3
Direct
0.000 0.000 0.000 Sr
0.337 0.337 0.000 Y
0.663 0.663 0.000 Y
0.176 0.676 0.500 S
0.500 0.000 0.500 S
0.824 0.324 0.500 S

***

Record 6
SrY2S4, relaxed, DFT PBE; E_form (uncorrected) = -2135 meV per atom; energy = -184.25 eV per cell; size of the total moment = 0.0 Bohr magnetons per cell; density of states at the Fermi level = 0.00 states/eV per cell; ΔE to the lowest computed polymorph = 0 meV/atom
1.0
12.072 0.000 0.000
0.000 4.004 0.000
0.000 0.000 14.401
Sr Y S
4 8 16
Direct
0.242 0.250 0.162 Sr
0.258 0.750 0.662 Sr
0.742 0.250 0.338 Sr
0.758 0.750 0.838 Sr
0.067 0.250 0.390 Y
0.081 0.250 0.899 Y
0.419 0.750 0.399 Y
0.433 0.750 0.890 Y
0.567 0.250 0.110 Y
0.581 0.250 0.601 Y
0.919 0.750 0.101 Y
0.933 0.750 0.610 Y
0.024 0.750 0.784 S
0.086 0.250 0.578 S
0.130 0.750 0.028 S
0.207 0.750 0.325 S
0.293 0.250 0.825 S
0.370 0.250 0.528 S
0.414 0.750 0.078 S
0.476 0.250 0.284 S
0.524 0.750 0.716 S
0.586 0.250 0.922 S
0.630 0.750 0.472 S
0.707 0.750 0.175 S
0.793 0.250 0.675 S
0.870 0.250 0.972 S
0.914 0.750 0.422 S
0.976 0.250 0.216 S

***

Record 7
SrY2S, relaxed, DFT PBE; E_form (uncorrected) = -616 meV per atom; energy = -42.40 eV per cell; size of the total moment = 3.3 Bohr magnetons per cell; density of states at the Fermi level = 9.05 states/eV per cell
1.0
-4.615 4.615 3.059
4.615 -4.615 3.059
4.615 4.615 -3.059
Sr Y S
2 4 2
Direct
0.000 0.000 0.000 Sr
0.750 0.250 0.500 Sr
0.235 0.625 0.110 Y
0.375 0.485 0.610 Y
0.515 0.125 0.890 Y
0.875 0.765 0.390 Y
0.250 0.750 0.500 S
0.500 0.500 0.000 S

***

Record 8
SrY4S5, relaxed, DFT PBE; E_form (uncorrected) = -2007 meV per atom; energy = -68.24 eV per cell; size of the total moment = 0.0 Bohr magnetons per cell; density of states at the Fermi level = 2.92 states/eV per cell
1.0
6.627 -1.979 0.000
6.627 1.979 0.000
-4.823 0.000 8.493
Sr Y S
1 4 5
Direct
0.000 0.000 0.000 Sr
0.198 0.198 0.787 Y
0.404 0.404 0.597 Y
0.596 0.596 0.403 Y
0.802 0.802 0.213 Y
0.000 0.000 0.500 S
0.202 0.202 0.310 S
0.390 0.390 0.103 S
0.610 0.610 0.897 S
0.798 0.798 0.690 S